LiScAlIr: optimized geometry, PBE.

Cell and atoms, written as CIF:
```
data_LiScAlIr
_cell_length_a 4.451
_cell_length_b 4.451
_cell_length_c 4.451
_cell_angle_alpha 60.00
_cell_angle_beta 60.00
_cell_angle_gamma 60.00
_space_group_name_H-M_alt 'P 1'
_space_group_IT_number 1
loop_
_space_group_symop_operation_xyz
'x,y,z'
loop_
_atom_site_label
_atom_site_type_symbol
_atom_site_fract_x
_atom_site_fract_y
_atom_site_fract_z
Li1 Li 0.000 0.000 0.000
Sc1 Sc 0.250 0.250 0.250
Al1 Al 0.750 0.750 0.750
Ir1 Ir 0.500 0.500 0.500
```

- formation enthalpy at 0 K (eV per formula unit) = -2.9

=====

LiAlSiIr: optimized geometry, PBE.

Cell and atoms, written as CIF:
```
data_LiAlSiIr
_cell_length_a 4.206
_cell_length_b 4.206
_cell_length_c 4.206
_cell_angle_alpha 60.00
_cell_angle_beta 60.00
_cell_angle_gamma 60.00
_space_group_name_H-M_alt 'P 1'
_space_group_IT_number 1
loop_
_space_group_symop_operation_xyz
'x,y,z'
loop_
_atom_site_label
_atom_site_type_symbol
_atom_site_fract_x
_atom_site_fract_y
_atom_site_fract_z
Li1 Li 0.000 0.000 0.000
Al1 Al 0.750 0.750 0.750
Si1 Si 0.250 0.250 0.250
Ir1 Ir 0.500 0.500 0.500
```

- formation energy from raw total energies (meV/atom) = -615

=====

Li2AlSi2Ir5: optimized geometry, PBE.

Cell and atoms, written as CIF:
```
data_Li2AlSi2Ir5
_cell_length_a 9.838
_cell_length_b 9.838
_cell_length_c 3.037
_cell_angle_alpha 90.00
_cell_angle_beta 90.00
_cell_angle_gamma 90.00
_space_group_name_H-M_alt 'P 1'
_space_group_IT_number 1
loop_
_space_group_symop_operation_xyz
'x,y,z'
loop_
_atom_site_label
_atom_site_type_symbol
_atom_site_fract_x
_atom_site_fract_y
_atom_site_fract_z
Li1 Li 0.170 0.330 0.000
Li2 Li 0.330 0.830 0.000
Li3 Li 0.670 0.170 0.000
Li4 Li 0.830 0.670 0.000
Al1 Al 0.000 0.000 0.000
Al2 Al 0.500 0.500 0.000
Si1 Si 0.133 0.633 0.000
Si2 Si 0.367 0.133 0.000
Si3 Si 0.633 0.867 0.000
Si4 Si 0.867 0.367 0.000
Ir1 Ir 0.000 0.500 0.500
Ir2 Ir 0.069 0.803 0.500
Ir3 Ir 0.197 0.069 0.500
Ir4 Ir 0.303 0.569 0.500
Ir5 Ir 0.431 0.303 0.500
Ir6 Ir 0.500 0.000 0.500
Ir7 Ir 0.569 0.697 0.500
Ir8 Ir 0.697 0.431 0.500
Ir9 Ir 0.803 0.931 0.500
Ir10 Ir 0.931 0.197 0.500
```

- formation energy from raw total energies (meV/atom) = -489

=====

LiSmAlIr: optimized geometry, PBE.

Cell and atoms, written as CIF:
```
data_LiSmAlIr
_cell_length_a 4.685
_cell_length_b 4.685
_cell_length_c 4.685
_cell_angle_alpha 60.00
_cell_angle_beta 60.00
_cell_angle_gamma 60.00
_space_group_name_H-M_alt 'P 1'
_space_group_IT_number 1
loop_
_space_group_symop_operation_xyz
'x,y,z'
loop_
_atom_site_label
_atom_site_type_symbol
_atom_site_fract_x
_atom_site_fract_y
_atom_site_fract_z
Li1 Li 0.000 0.000 0.000
Sm1 Sm 0.750 0.750 0.750
Al1 Al 0.250 0.250 0.250
Ir1 Ir 0.500 0.500 0.500
```

- formation enthalpy at 0 K (eV per formula unit) = -2.0

=====

SrLi2AlIr: optimized geometry, PBE.

Cell and atoms, written as CIF:
```
data_SrLi2AlIr
_cell_length_a 4.887
_cell_length_b 4.887
_cell_length_c 4.754
_cell_angle_alpha 90.00
_cell_angle_beta 90.00
_cell_angle_gamma 90.00
_space_group_name_H-M_alt 'P 1'
_space_group_IT_number 1
loop_
_space_group_symop_operation_xyz
'x,y,z'
loop_
_atom_site_label
_atom_site_type_symbol
_atom_site_fract_x
_atom_site_fract_y
_atom_site_fract_z
Sr1 Sr 0.000 0.000 0.000
Li1 Li 0.000 0.500 0.500
Li2 Li 0.500 0.000 0.500
Al1 Al 0.500 0.500 0.000
Ir1 Ir 0.500 0.500 0.500
```

- formation enthalpy at 0 K (eV per formula unit) = -1.0

=====

SrLiAl2Ir: optimized geometry, PBE.

Cell and atoms, written as CIF:
```
data_SrLiAl2Ir
_cell_length_a 4.759
_cell_length_b 4.759
_cell_length_c 4.990
_cell_angle_alpha 90.00
_cell_angle_beta 90.00
_cell_angle_gamma 90.00
_space_group_name_H-M_alt 'P 1'
_space_group_IT_number 1
loop_
_space_group_symop_operation_xyz
'x,y,z'
loop_
_atom_site_label
_atom_site_type_symbol
_atom_site_fract_x
_atom_site_fract_y
_atom_site_fract_z
Sr1 Sr 0.000 0.000 0.000
Li1 Li 0.500 0.500 0.000
Al1 Al 0.000 0.500 0.500
Al2 Al 0.500 0.000 0.500
Ir1 Ir 0.500 0.500 0.500
```

- formation enthalpy at 0 K (eV per formula unit) = -2.0

=====

LiTbAlIr: optimized geometry, PBE.

Cell and atoms, written as CIF:
```
data_LiTbAlIr
_cell_length_a 4.636
_cell_length_b 4.636
_cell_length_c 4.636
_cell_angle_alpha 60.00
_cell_angle_beta 60.00
_cell_angle_gamma 60.00
_space_group_name_H-M_alt 'P 1'
_space_group_IT_number 1
loop_
_space_group_symop_operation_xyz
'x,y,z'
loop_
_atom_site_label
_atom_site_type_symbol
_atom_site_fract_x
_atom_site_fract_y
_atom_site_fract_z
Li1 Li 0.000 0.000 0.000
Tb1 Tb 0.750 0.750 0.750
Al1 Al 0.250 0.250 0.250
Ir1 Ir 0.500 0.500 0.500
```

- formation enthalpy at 0 K (eV per formula unit) = -2.3

=====

LiAl2TeIr: optimized geometry, PBE.

Cell and atoms, written as CIF:
```
data_LiAl2TeIr
_cell_length_a 5.408
_cell_length_b 5.408
_cell_length_c 4.900
_cell_angle_alpha 90.00
_cell_angle_beta 90.00
_cell_angle_gamma 90.00
_space_group_name_H-M_alt 'P 1'
_space_group_IT_number 1
loop_
_space_group_symop_operation_xyz
'x,y,z'
loop_
_atom_site_label
_atom_site_type_symbol
_atom_site_fract_x
_atom_site_fract_y
_atom_site_fract_z
Li1 Li 0.000 0.000 0.000
Al1 Al 0.000 0.500 0.500
Al2 Al 0.500 0.000 0.500
Te1 Te 0.500 0.500 0.500
Ir1 Ir 0.500 0.500 0.000
```

- formation energy from raw total energies (meV/atom) = 974

=====

LiTiAlIr: optimized geometry, PBE.

Cell and atoms, written as CIF:
```
data_LiTiAlIr
_cell_length_a 4.317
_cell_length_b 4.317
_cell_length_c 4.317
_cell_angle_alpha 60.00
_cell_angle_beta 60.00
_cell_angle_gamma 60.00
_space_group_name_H-M_alt 'P 1'
_space_group_IT_number 1
loop_
_space_group_symop_operation_xyz
'x,y,z'
loop_
_atom_site_label
_atom_site_type_symbol
_atom_site_fract_x
_atom_site_fract_y
_atom_site_fract_z
Li1 Li 0.000 0.000 0.000
Ti1 Ti 0.750 0.750 0.750
Al1 Al 0.250 0.250 0.250
Ir1 Ir 0.500 0.500 0.500
```

- formation enthalpy at 0 K (eV per formula unit) = -2.9

=====

Li2AlTlIr: optimized geometry, PBE.

Cell and atoms, written as CIF:
```
data_Li2AlTlIr
_cell_length_a 4.783
_cell_length_b 4.783
_cell_length_c 4.725
_cell_angle_alpha 90.00
_cell_angle_beta 90.00
_cell_angle_gamma 90.00
_space_group_name_H-M_alt 'P 1'
_space_group_IT_number 1
loop_
_space_group_symop_operation_xyz
'x,y,z'
loop_
_atom_site_label
_atom_site_type_symbol
_atom_site_fract_x
_atom_site_fract_y
_atom_site_fract_z
Li1 Li 0.000 0.500 0.000
Li2 Li 0.500 0.000 0.000
Al1 Al 0.000 0.000 0.500
Tl1 Tl 0.500 0.500 0.500
Ir1 Ir 0.000 0.000 0.000
```

- formation enthalpy at 0 K (eV per formula unit) = 0.3

=====

LiAlIrW: optimized geometry, PBE.

Cell and atoms, written as CIF:
```
data_LiAlIrW
_cell_length_a 4.302
_cell_length_b 4.302
_cell_length_c 4.302
_cell_angle_alpha 60.00
_cell_angle_beta 60.00
_cell_angle_gamma 60.00
_space_group_name_H-M_alt 'P 1'
_space_group_IT_number 1
loop_
_space_group_symop_operation_xyz
'x,y,z'
loop_
_atom_site_label
_atom_site_type_symbol
_atom_site_fract_x
_atom_site_fract_y
_atom_site_fract_z
Li1 Li 0.000 0.000 0.000
Al1 Al 0.250 0.250 0.250
Ir1 Ir 0.500 0.500 0.500
W1 W 0.750 0.750 0.750
```

- formation enthalpy at 0 K (eV per formula unit) = -1.2

=====

LiAlZnIr2: optimized geometry, PBE.

Cell and atoms, written as CIF:
```
data_LiAlZnIr2
_cell_length_a 4.572
_cell_length_b 4.572
_cell_length_c 3.933
_cell_angle_alpha 90.00
_cell_angle_beta 90.00
_cell_angle_gamma 90.00
_space_group_name_H-M_alt 'P 1'
_space_group_IT_number 1
loop_
_space_group_symop_operation_xyz
'x,y,z'
loop_
_atom_site_label
_atom_site_type_symbol
_atom_site_fract_x
_atom_site_fract_y
_atom_site_fract_z
Li1 Li 0.000 0.000 0.000
Al1 Al 0.500 0.500 0.000
Zn1 Zn 0.000 0.000 0.500
Ir1 Ir 0.000 0.500 0.500
Ir2 Ir 0.500 0.000 0.500
```

- energy above the lowest structure with this stoichiometry (meV per atom) = 0.0
- formation enthalpy at 0 K (eV per formula unit) = 2.7

=====

LiAlZnIr2: optimized geometry, PBE.

Cell and atoms, written as CIF:
```
data_LiAlZnIr2
_cell_length_a 4.522
_cell_length_b 4.522
_cell_length_c 4.602
_cell_angle_alpha 90.00
_cell_angle_beta 90.00
_cell_angle_gamma 90.00
_space_group_name_H-M_alt 'P 1'
_space_group_IT_number 1
loop_
_space_group_symop_operation_xyz
'x,y,z'
loop_
_atom_site_label
_atom_site_type_symbol
_atom_site_fract_x
_atom_site_fract_y
_atom_site_fract_z
Li1 Li 0.000 0.000 0.000
Al1 Al 0.500 0.500 0.500
Zn1 Zn 0.500 0.500 0.000
Ir1 Ir 0.000 0.500 0.500
Ir2 Ir 0.500 0.000 0.500
```

- energy above the lowest structure with this stoichiometry (meV per atom) = 85.9
- formation enthalpy at 0 K (eV per formula unit) = 3.1

=====

LiAl2ZnIr: optimized geometry, PBE.

Cell and atoms, written as CIF:
```
data_LiAl2ZnIr
_cell_length_a 4.560
_cell_length_b 4.560
_cell_length_c 4.694
_cell_angle_alpha 90.00
_cell_angle_beta 90.00
_cell_angle_gamma 90.00
_space_group_name_H-M_alt 'P 1'
_space_group_IT_number 1
loop_
_space_group_symop_operation_xyz
'x,y,z'
loop_
_atom_site_label
_atom_site_type_symbol
_atom_site_fract_x
_atom_site_fract_y
_atom_site_fract_z
Li1 Li 0.000 0.000 0.000
Al1 Al 0.000 0.500 0.500
Al2 Al 0.500 0.000 0.500
Zn1 Zn 0.500 0.500 0.500
Ir1 Ir 0.500 0.500 0.000
```

- formation enthalpy at 0 K (eV per formula unit) = 2.9